Record 1
Compound: Na3Pu3ScS8
Source: Alexandria
Functional: PBE-GGA
Structure: optimized geometry

a b c (Å): 7.9260 7.9260 19.9692
angles (deg): 90.00 90.00 120.00
With the nearest neighbours (Å) after each atom.
Space group R-3m (No. 166, hexagonal axes)
One atom of each set of equivalent atoms:
Na: 0.0000 0.5000 0.0000 (multiplicity 9)  6 S 2.93-2.94
Pu: 0.0000 0.5000 0.5000 (multiplicity 9)  6 S 2.73-2.74
Sc: 0.0000 0.0000 0.5000 (multiplicity 3)  6 S 2.63
S: 0.0000 0.0000 0.2418 (multiplicity 6)  3 Pu 2.74, 3 Na 2.93
S: 0.0121 0.5061 0.2381 (multiplicity 18)  1 Sc 2.63, 2 Pu 2.73

Calculated total energy = -7.33 eV/atom
DOS at the Fermi energy = 76.36 states/eV/cell
Formation energy from raw total energies = -1.58 eV/atom

Record 2
Compound: AcTc2H8
Source: Alexandria
Functional: PBE-GGA
Structure: optimized geometry

a b c (Å): 4.9130 8.2038 4.9035
angles (deg): 90.00 93.62 90.00
With the nearest neighbours (Å) after each atom.
Space group Cm (No. 8)
One atom of each set of equivalent atoms:
Ac: 0.0000 0.0000 0.0000 (multiplicity 2)  15 H 2.55-2.83
Tc: 0.4269 0.1497 0.5277 (multiplicity 4)  5 H 1.71-1.91
H: 0.0715 0.1335 0.4780 (multiplicity 4)  2 Tc 1.75-1.94, 1 H 1.90
H: 0.1003 0.5000 0.3217 (multiplicity 2)  2 Tc 1.83
H: 0.2370 0.2698 0.7544 (multiplicity 4)  2 Tc 1.79-1.94, 1 H 1.90
H: 0.3608 0.2226 0.2046 (multiplicity 4)  1 Tc 1.71
H: 0.4839 0.0000 0.8237 (multiplicity 2)  2 Tc 1.91

Calculated total energy = -4.85 eV/atom
DOS at the Fermi energy = 8.40 states/eV/cell
Polymorph energy (0 for the lowest one) = 0 meV per atom

Record 3
Compound: CuSiBr4
Source: Alexandria
Functional: PBE-GGA
Structure: optimized geometry

a b c (Å): 8.7318 8.7318 8.7318
angles (deg): 90.00 90.00 90.00
With the nearest neighbours (Å) after each atom.
Space group F-43m (No. 216)
One atom of each set of equivalent atoms:
Cu: 0.0000 0.0000 0.0000 (multiplicity 4)  12 Br 3.62, 4 Si 3.78
Si: 0.2500 0.2500 0.7500 (multiplicity 4)  12 Br 3.62, 4 Cu 3.78
Br: 0.1261 0.1261 0.3739 (multiplicity 16)  6 Br 3.06-3.11

Calculated total energy = -1.61 eV/atom
DOS at the Fermi energy = 29.48 states/eV/cell
Polymorph energy (0 for the lowest one) = 1411 meV per atom
Formation energy from raw total energies = 1.09 eV/atom

Record 4
Compound: SrMn2Tl
Source: Alexandria
Functional: PBE-GGA
Structure: optimized geometry

a b c (Å): 9.3814 3.6420 6.1965
angles (deg): 90.00 103.63 90.00
With the nearest neighbours (Å) after each atom.
Space group Cm (No. 8)
One atom of each set of equivalent atoms:
Sr: 0.0000 0.0000 0.0000 (multiplicity 2)  5 Mn 3.27-3.43, 3 Tl 3.36-3.42, 2 Sr 3.64
Mn: 0.2730 0.5000 0.3283 (multiplicity 2)  3 Mn 2.75-2.92, 2 Tl 2.83
Mn: 0.4959 0.0000 0.4672 (multiplicity 2)  3 Mn 2.75-2.92, 3 Tl 2.88-3.00
Tl: 0.2296 0.0000 0.6569 (multiplicity 2)  5 Mn 2.83-3.00

Calculated total energy = -5.10 eV/atom
DOS at the Fermi energy = 6.84 states/eV/cell
Polymorph energy (0 for the lowest one) = 106 meV per atom
Energy of formation from the pure elements = 0.494 eV per atom

Record 5
Compound: Ac5TbSi4
Source: Alexandria
Functional: PBE-GGA
Structure: optimized geometry

a b c (Å): 20.5867 4.5264 8.2509
angles (deg): 90.00 113.61 90.00
With the nearest neighbours (Å) after each atom.
Space group C2/m (No. 12)
One atom of each set of equivalent atoms:
Ac: 0.0000 0.0000 0.0000 (multiplicity 2)  4 Si 3.17
Ac: 0.1622 0.5000 0.4133 (multiplicity 4)  3 Si 3.06-3.11
Ac: 0.1620 0.5000 0.9126 (multiplicity 4)  4 Si 3.06-3.42
Tb: 0.0000 0.0000 0.5000 (multiplicity 2)  4 Si 2.96
Si: 0.0002 0.5000 0.2685 (multiplicity 4)  2 Tb 2.96, 4 Ac 3.06-3.17
Si: 0.1928 0.0000 0.6936 (multiplicity 4)  6 Ac 3.11-3.43

Calculated total energy = -5.04 eV/atom
DOS at the Fermi energy = 14.28 states/eV/cell
Formation energy from raw total energies = -0.35 eV/atom

Record 6
Compound: ScBe6Nb2
Source: Alexandria
Functional: PBE-GGA
Structure: optimized geometry

a b c (Å): 6.4765 6.4765 3.0417
angles (deg): 90.00 90.00 120.00
With the nearest neighbours (Å) after each atom.
Space group P6/mmm (No. 191)
One atom of each set of equivalent atoms:
Sc: 0.0000 0.0000 0.0000 (multiplicity 1)  12 Be 2.67
Be: 0.0000 0.3388 0.5000 (multiplicity 6)  3 Be 2.09-2.19
Nb: 0.3333 0.6667 0.0000 (multiplicity 2)  12 Be 2.63

Calculated total energy = -5.55 eV/atom
DOS at the Fermi energy = 5.16 states/eV/cell
Energy of formation from the pure elements = -0.130 eV per atom

Record 7
Compound: AlTcBr2
Source: Alexandria
Functional: PBE-GGA
Structure: optimized geometry

a b c (Å): 3.3327 3.3327 27.8683
angles (deg): 90.00 90.00 120.00
With the nearest neighbours (Å) after each atom.
Space group R-3m (No. 166, hexagonal axes)
One atom of each set of equivalent atoms:
Al: 0.0000 0.0000 0.0000 (multiplicity 3)  6 Al 3.33, 6 Br 3.47
Tc: 0.0000 0.0000 0.5000 (multiplicity 3)  6 Br 2.60
Br: 0.0000 0.0000 0.2295 (multiplicity 6)  3 Tc 2.60

Calculated total energy = -3.92 eV/atom
DOS at the Fermi energy = 14.03 states/eV/cell
Polymorph energy (0 for the lowest one) = 649 meV per atom
Formation energy from raw total energies = 0.45 eV/atom

Record 8
Compound: Sr3YTh2Bi6
Source: Alexandria
Functional: PBE-GGA
Structure: optimized geometry

a b c (Å): 8.0803 14.0015 8.2809
angles (deg): 90.00 109.01 90.00
With the nearest neighbours (Å) after each atom.
Space group C2/m (No. 12)
One atom of each set of equivalent atoms:
Sr: 0.0000 0.0000 0.0000 (multiplicity 2)  6 Bi 3.42-3.44
Sr: 0.0000 0.3321 0.0000 (multiplicity 4)  6 Bi 3.41-3.43
Y: 0.0000 0.5000 0.5000 (multiplicity 2)  6 Bi 3.22-3.23
Th: 0.0000 0.1663 0.5000 (multiplicity 4)  6 Bi 3.25
Bi: 0.2418 0.3347 0.7302 (multiplicity 8)  1 Y 3.22, 2 Th 3.25, 3 Sr 3.41-3.43
Bi: 0.2468 0.0000 0.7317 (multiplicity 4)  1 Y 3.23, 2 Th 3.25, 3 Sr 3.42-3.44

Calculated total energy = -4.92 eV/atom
DOS at the Fermi energy = 12.84 states/eV/cell
Energy of formation from the pure elements = -0.787 eV per atom

Record 9
Compound: ScH2RuF
Source: Alexandria
Functional: PBE-GGA
Structure: optimized geometry

a b c (Å): 3.9297 3.9297 3.8144
angles (deg): 90.00 90.00 90.00
With the nearest neighbours (Å) after each atom.
Space group P4/mmm (No. 123)
One atom of each set of equivalent atoms:
Sc: 0.0000 0.0000 0.0000 (multiplicity 1)  2 F 1.91
H: 0.0000 0.5000 0.5000 (multiplicity 2)  2 F 1.96
Ru: 0.5000 0.5000 0.0000 (multiplicity 1)  8 H 2.74, 4 Sc 2.78
F: 0.0000 0.0000 0.5000 (multiplicity 1)  2 Sc 1.91, 4 H 1.96

Calculated total energy = -4.76 eV/atom
DOS at the Fermi energy = 1.48 states/eV/cell

Record 10
Compound: AlZnCd3
Source: Alexandria
Functional: PBE-GGA
Structure: optimized geometry

a b c (Å): 5.0712 5.0712 5.0712
angles (deg): 90.00 90.00 90.00
With the nearest neighbours (Å) after each atom.
Space group Pm-3m (No. 221)
One atom of each set of equivalent atoms:
Al: 0.0000 0.0000 0.0000 (multiplicity 1)  12 Cd 3.59
Zn: 0.5000 0.5000 0.5000 (multiplicity 1)  6 Cd 2.54
Cd: 0.0000 0.5000 0.5000 (multiplicity 3)  2 Zn 2.54

Calculated total energy = -1.13 eV/atom
DOS at the Fermi energy = 1.78 states/eV/cell
Polymorph energy (0 for the lowest one) = 24 meV per atom
Energy of formation from the pure elements = 0.421 eV per atom

Record 11
Compound: PuThAl2
Source: Alexandria
Functional: PBE-GGA
Structure: optimized geometry

a b c (Å): 3.7050 3.7050 7.0539
angles (deg): 90.00 90.00 90.00
With the nearest neighbours (Å) after each atom.
Space group P4/mmm (No. 123)
One atom of each set of equivalent atoms:
Pu: 0.0000 0.0000 0.0000 (multiplicity 1)  8 Al 3.09
Th: 0.0000 0.0000 0.5000 (multiplicity 1)  8 Al 3.23, 2 Pu 3.53
Al: 0.5000 0.5000 0.2316 (multiplicity 2)  4 Pu 3.09, 4 Th 3.23, 1 Al 3.27

Calculated total energy = -7.46 eV/atom
DOS at the Fermi energy = 7.59 states/eV/cell
Polymorph energy (0 for the lowest one) = 31 meV per atom
Energy of formation from the pure elements = -0.154 eV per atom

Record 12
Compound: LaReBrO4
Source: Alexandria
Functional: PBE-GGA
Structure: optimized geometry

a b c (Å): 11.0565 7.4096 7.2321
angles (deg): 90.00 104.45 90.00
With the nearest neighbours (Å) after each atom.
Space group C2/m (No. 12)
One atom of each set of equivalent atoms:
La: 0.2261 0.0000 0.1115 (multiplicity 4)  6 O 2.45-2.58
Re: 0.1313 0.5000 0.2764 (multiplicity 4)  4 O 1.76-1.86
Br: 0.0121 0.0000 0.7537 (multiplicity 4)  2 La 3.03-3.04, 1 O 3.39
O: 0.0327 0.5000 0.7856 (multiplicity 4)  1 Re 1.76
O: 0.1947 0.3251 0.1422 (multiplicity 8)  1 Re 1.86
O: 0.2054 0.5000 0.5216 (multiplicity 4)  1 Re 1.76

Calculated total energy = -7.67 eV/atom
DOS at the Fermi energy = 9.94 states/eV/cell
Formation energy from raw total energies = -2.11 eV/atom

- Which of these has the highest calculated total energy?
  AlZnCd3

- Which formula does entry 3 have?
  CuSiBr4

- Which of these has the highest calculated total energy?
  AlZnCd3

- The lowest calculated total energy belongs to which entry?
  LaReBrO4